# SrMgTl3

SrMgTl3 after structural relaxation (GGA-PBE, Alexandria).

```
data_SrMgTl3
_symmetry_space_group_name_H-M 'P 1'
_symmetry_Int_Tables_number 1
_symmetry_space_group_name_Hall 'P 1'
_cell_length_a 5.529
_cell_length_b 5.529
_cell_length_c 5.529
_cell_angle_alpha 90.00
_cell_angle_beta 90.00
_cell_angle_gamma 90.00
loop_
_atom_site_label
_atom_site_type_symbol
_atom_site_fract_x
_atom_site_fract_y
_atom_site_fract_z
Mg1 Mg 0.000 0.000 0.000
Sr1 Sr 0.500 0.500 0.500
Tl1 Tl 0.500 0.000 0.000
Tl2 Tl 0.000 0.000 0.500
Tl3 Tl 0.000 0.500 0.000
```

- Total magnetic moment: 0.000 μB/cell
- Volume: 33.80 Å³ per atom
- Total DFT energy (no corrections): -2.104 eV/atom
- SG: No. 221
- Mass density: 7.12 g cm⁻³